(1)
A relaxed BaIn2Sb2 crystal, computed with GGA-PBEsol.

```
data_BaIn2Sb2
_chemical_formula_sum 'Ba1 In2 Sb2'
_space_group_name_H-M_alt 'P 1'
_space_group_IT_number 1
_cell_length_a 6.422
_cell_length_b 6.422
_cell_length_c 6.422
_cell_angle_alpha 129.14
_cell_angle_beta 129.14
_cell_angle_gamma 74.79
loop_
_space_group_symop_operation_xyz
'x,y,z'
loop_
_atom_site_label
_atom_site_type_symbol
_atom_site_fract_x
_atom_site_fract_y
_atom_site_fract_z
Ba1 Ba 0.000 0.000 0.000
In1 In 0.362 0.362 0.000
In2 In 0.638 0.638 0.000
Sb1 Sb 0.250 0.750 0.500
Sb2 Sb 0.750 0.250 0.500
```

Space-group type: I4/mmm, No. 139
Energy relative to the elements, uncorrected, meV/atom: -452
Volume, Å³/f.u.: 155
DFT total energy, eV per cell: -19.5

---

(2)
A relaxed Sr3Au crystal, computed with GGA-PBEsol.

```
data_Sr3Au
_chemical_formula_sum 'Sr3 Au1'
_space_group_name_H-M_alt 'P 1'
_space_group_IT_number 1
_cell_length_a 3.885
_cell_length_b 3.885
_cell_length_c 10.048
_cell_angle_alpha 90.00
_cell_angle_beta 90.00
_cell_angle_gamma 90.00
loop_
_space_group_symop_operation_xyz
'x,y,z'
loop_
_atom_site_label
_atom_site_type_symbol
_atom_site_fract_x
_atom_site_fract_y
_atom_site_fract_z
Sr1 Sr 0.000 0.000 0.000
Sr2 Sr 0.500 0.500 0.324
Sr3 Sr 0.500 0.500 0.676
Au1 Au 0.000 0.000 0.500
```

Space-group type: P4/mmm, No. 123
Calculated formation energy, eV per formula unit: -1.41
Volume, Å³/f.u.: 152
DFT total energy, eV per cell: -10.9

---

(3)
A relaxed ZnPd4 crystal, computed with GGA-PBEsol.

```
data_ZnPd4
_chemical_formula_sum 'Zn1 Pd4'
_space_group_name_H-M_alt 'P 1'
_space_group_IT_number 1
_cell_length_a 10.936
_cell_length_b 10.936
_cell_length_c 10.936
_cell_angle_alpha 14.47
_cell_angle_beta 14.47
_cell_angle_gamma 14.47
loop_
_space_group_symop_operation_xyz
'x,y,z'
loop_
_atom_site_label
_atom_site_type_symbol
_atom_site_fract_x
_atom_site_fract_y
_atom_site_fract_z
Zn1 Zn 0.000 0.000 0.000
Pd1 Pd 0.201 0.201 0.201
Pd2 Pd 0.396 0.396 0.396
Pd3 Pd 0.604 0.604 0.604
Pd4 Pd 0.799 0.799 0.799
```

Space-group type: R-3m, No. 166
Calculated formation energy, eV per formula unit: -1.02
Volume, Å³/f.u.: 71
DFT total energy, eV per cell: -26.4

---

(4)
A relaxed KRbH2 crystal, computed with GGA-PBEsol.

```
data_KRbH2
_chemical_formula_sum 'K2 Rb2 H4'
_space_group_name_H-M_alt 'P 1'
_space_group_IT_number 1
_cell_length_a 7.607
_cell_length_b 7.607
_cell_length_c 7.607
_cell_angle_alpha 131.30
_cell_angle_beta 131.30
_cell_angle_gamma 71.33
loop_
_space_group_symop_operation_xyz
'x,y,z'
loop_
_atom_site_label
_atom_site_type_symbol
_atom_site_fract_x
_atom_site_fract_y
_atom_site_fract_z
K1 K 0.000 0.000 0.000
K2 K 0.750 0.250 0.500
Rb1 Rb 0.250 0.750 0.500
Rb2 Rb 0.500 0.500 0.000
H1 H 0.105 0.625 0.980
H2 H 0.375 0.355 0.480
H3 H 0.645 0.125 0.020
H4 H 0.875 0.895 0.520
```

Space-group type: I-42d, No. 122
Volume, Å³/f.u.: 122
DFT total energy, eV per cell: -18.3

---

(5)
A relaxed Ba2LiTlC crystal, computed with GGA-PBEsol.

```
data_Ba2LiTlC
_chemical_formula_sum 'Ba2 Li1 Tl1 C1'
_space_group_name_H-M_alt 'P 1'
_space_group_IT_number 1
_cell_length_a 5.729
_cell_length_b 5.729
_cell_length_c 4.296
_cell_angle_alpha 90.00
_cell_angle_beta 90.00
_cell_angle_gamma 90.00
loop_
_space_group_symop_operation_xyz
'x,y,z'
loop_
_atom_site_label
_atom_site_type_symbol
_atom_site_fract_x
_atom_site_fract_y
_atom_site_fract_z
Ba1 Ba 0.000 0.500 0.000
Ba2 Ba 0.500 0.000 0.000
Li1 Li 0.000 0.000 0.500
Tl1 Tl 0.500 0.500 0.500
C1 C 0.000 0.000 0.000
```

Space-group type: P4/mmm, No. 123
Calculated formation energy, eV per formula unit: 1.44
Volume, Å³/f.u.: 141
DFT total energy, eV per cell: -17.1

---

(6)
A relaxed Na2CdAgAs crystal, computed with GGA-PBEsol.

```
data_Na2CdAgAs
_chemical_formula_sum 'Na2 Cd1 Ag1 As1'
_space_group_name_H-M_alt 'P 1'
_space_group_IT_number 1
_cell_length_a 5.295
_cell_length_b 5.295
_cell_length_c 5.036
_cell_angle_alpha 90.00
_cell_angle_beta 90.00
_cell_angle_gamma 90.00
loop_
_space_group_symop_operation_xyz
'x,y,z'
loop_
_atom_site_label
_atom_site_type_symbol
_atom_site_fract_x
_atom_site_fract_y
_atom_site_fract_z
Na1 Na 0.000 0.500 0.000
Na2 Na 0.500 0.000 0.000
Cd1 Cd 0.000 0.000 0.000
Ag1 Ag 0.000 0.000 0.500
As1 As 0.500 0.500 0.500
```

Space-group type: P4/mmm, No. 123
Calculated formation energy, eV per formula unit: 2.67
Volume, Å³/f.u.: 141
DFT total energy, eV per cell: -9.7

---

(7)
A relaxed Li4Mn3CoO8 crystal, computed with GGA-PBEsol.

```
data_Li4Mn3CoO8
_chemical_formula_sum 'Li4 Mn3 Co1 O8'
_space_group_name_H-M_alt 'P 1'
_space_group_IT_number 1
_cell_length_a 5.776
_cell_length_b 5.776
_cell_length_c 5.776
_cell_angle_alpha 58.46
_cell_angle_beta 58.46
_cell_angle_gamma 58.46
loop_
_space_group_symop_operation_xyz
'x,y,z'
loop_
_atom_site_label
_atom_site_type_symbol
_atom_site_fract_x
_atom_site_fract_y
_atom_site_fract_z
Li1 Li 0.000 0.000 0.000
Li2 Li 0.000 0.500 0.500
Li3 Li 0.500 0.000 0.500
Li4 Li 0.500 0.500 0.000
Mn1 Mn 0.000 0.000 0.500
Mn2 Mn 0.000 0.500 0.000
Mn3 Mn 0.500 0.000 0.000
Co1 Co 0.500 0.500 0.500
O1 O 0.228 0.752 0.752
O2 O 0.241 0.241 0.241
O3 O 0.248 0.248 0.772
O4 O 0.248 0.772 0.248
O5 O 0.752 0.228 0.752
O6 O 0.752 0.752 0.228
O7 O 0.759 0.759 0.759
O8 O 0.772 0.248 0.248
```

Space-group type: R-3m, No. 166
Energy relative to the elements, uncorrected, meV/atom: -1740
Volume, Å³/f.u.: 131
DFT total energy, eV per cell: -114.7

---

(8)
A relaxed HfCu3Si crystal, computed with GGA-PBEsol.

```
data_HfCu3Si
_chemical_formula_sum 'Hf1 Cu3 Si1'
_space_group_name_H-M_alt 'P 1'
_space_group_IT_number 1
_cell_length_a 4.724
_cell_length_b 4.724
_cell_length_c 4.724
_cell_angle_alpha 90.00
_cell_angle_beta 90.00
_cell_angle_gamma 90.00
loop_
_space_group_symop_operation_xyz
'x,y,z'
loop_
_atom_site_label
_atom_site_type_symbol
_atom_site_fract_x
_atom_site_fract_y
_atom_site_fract_z
Hf1 Hf 0.000 0.000 0.000
Cu1 Cu 0.000 0.000 0.500
Cu2 Cu 0.000 0.500 0.000
Cu3 Cu 0.500 0.000 0.000
Si1 Si 0.500 0.500 0.500
```

Space-group type: Pm-3m, No. 221
Energy relative to the elements, uncorrected, meV/atom: 1633
Volume, Å³/f.u.: 105
DFT total energy, eV per cell: -21.1

---

(9)
A relaxed V4Cu3S8 crystal, computed with GGA-PBEsol.

```
data_V4Cu3S8
_chemical_formula_sum 'V4 Cu3 S8'
_space_group_name_H-M_alt 'P 1'
_space_group_IT_number 1
_cell_length_a 7.225
_cell_length_b 7.225
_cell_length_c 7.225
_cell_angle_alpha 53.29
_cell_angle_beta 53.29
_cell_angle_gamma 53.29
loop_
_space_group_symop_operation_xyz
'x,y,z'
loop_
_atom_site_label
_atom_site_type_symbol
_atom_site_fract_x
_atom_site_fract_y
_atom_site_fract_z
V1 V 0.000 0.000 0.000
V2 V 0.053 0.469 0.469
V3 V 0.469 0.053 0.469
V4 V 0.469 0.469 0.053
Cu1 Cu 0.097 0.666 0.666
Cu2 Cu 0.666 0.097 0.666
Cu3 Cu 0.666 0.666 0.097
S1 S 0.242 0.242 0.242
S2 S 0.245 0.245 0.754
S3 S 0.245 0.754 0.245
S4 S 0.260 0.760 0.760
S5 S 0.723 0.723 0.723
S6 S 0.754 0.245 0.245
S7 S 0.760 0.260 0.760
S8 S 0.760 0.760 0.260
```

Space-group type: R3m, No. 160
Energy relative to the elements, uncorrected, meV/atom: -794
Volume, Å³/f.u.: 225
DFT total energy, eV per cell: -98.5

---

(10)
A relaxed Li2MgTc crystal, computed with GGA-PBEsol.

```
data_Li2MgTc
_chemical_formula_sum 'Li2 Mg1 Tc1'
_space_group_name_H-M_alt 'P 1'
_space_group_IT_number 1
_cell_length_a 2.529
_cell_length_b 4.435
_cell_length_c 5.580
_cell_angle_alpha 90.00
_cell_angle_beta 90.00
_cell_angle_gamma 90.00
loop_
_space_group_symop_operation_xyz
'x,y,z'
loop_
_atom_site_label
_atom_site_type_symbol
_atom_site_fract_x
_atom_site_fract_y
_atom_site_fract_z
Li1 Li 0.000 0.000 0.000
Li2 Li 0.500 0.500 0.253
Mg1 Mg 0.000 0.000 0.542
Tc1 Tc 0.500 0.500 0.757
```

Space-group type: Pmm2, No. 25
Calculated formation energy, eV per formula unit: 1.30
Volume, Å³/f.u.: 63
DFT total energy, eV per cell: -15.6

---

(11)
A relaxed Ho2CdIn crystal, computed with GGA-PBEsol.

```
data_Ho2CdIn
_chemical_formula_sum 'Ho2 Cd1 In1'
_space_group_name_H-M_alt 'P 1'
_space_group_IT_number 1
_cell_length_a 5.185
_cell_length_b 5.185
_cell_length_c 5.185
_cell_angle_alpha 60.00
_cell_angle_beta 60.00
_cell_angle_gamma 60.00
loop_
_space_group_symop_operation_xyz
'x,y,z'
loop_
_atom_site_label
_atom_site_type_symbol
_atom_site_fract_x
_atom_site_fract_y
_atom_site_fract_z
Ho1 Ho 0.250 0.250 0.250
Ho2 Ho 0.750 0.750 0.750
Cd1 Cd 0.000 0.000 0.000
In1 In 0.500 0.500 0.500
```

Space-group type: Fm-3m, No. 225
Calculated formation energy, eV per formula unit: -1.78
Volume, Å³/f.u.: 99
DFT total energy, eV per cell: -15.9

---

(12)
A relaxed TaTcPt crystal, computed with GGA-PBEsol.

```
data_TaTcPt
_chemical_formula_sum 'Ta1 Tc1 Pt1'
_space_group_name_H-M_alt 'P 1'
_space_group_IT_number 1
_cell_length_a 4.246
_cell_length_b 4.246
_cell_length_c 4.246
_cell_angle_alpha 60.00
_cell_angle_beta 60.00
_cell_angle_gamma 60.00
loop_
_space_group_symop_operation_xyz
'x,y,z'
loop_
_atom_site_label
_atom_site_type_symbol
_atom_site_fract_x
_atom_site_fract_y
_atom_site_fract_z
Ta1 Ta 0.000 0.000 0.000
Tc1 Tc 0.750 0.750 0.750
Pt1 Pt 0.250 0.250 0.250
```

Space-group type: F-43m, No. 216
Calculated formation energy, eV per formula unit: 0.75
Volume, Å³/f.u.: 54
DFT total energy, eV per cell: -30.0

---

(13)
A relaxed In2CuTe crystal, computed with GGA-PBEsol.

```
data_In2CuTe
_chemical_formula_sum 'In2 Cu1 Te1'
_space_group_name_H-M_alt 'P 1'
_space_group_IT_number 1
_cell_length_a 3.094
_cell_length_b 3.541
_cell_length_c 8.112
_cell_angle_alpha 90.00
_cell_angle_beta 90.00
_cell_angle_gamma 90.00
loop_
_space_group_symop_operation_xyz
'x,y,z'
loop_
_atom_site_label
_atom_site_type_symbol
_atom_site_fract_x
_atom_site_fract_y
_atom_site_fract_z
In1 In 0.000 0.000 0.199
In2 In 0.000 0.000 0.801
Cu1 Cu 0.500 0.500 0.000
Te1 Te 0.500 0.500 0.500
```

Space-group type: Pmmm, No. 47
Energy relative to the elements, uncorrected, meV/atom: 105
Volume, Å³/f.u.: 89
DFT total energy, eV per cell: -13.4

---

(14)
A relaxed TlCuPbI2 crystal, computed with GGA-PBEsol.

```
data_TlCuPbI2
_chemical_formula_sum 'Tl1 Cu1 Pb1 I2'
_space_group_name_H-M_alt 'P 1'
_space_group_IT_number 1
_cell_length_a 6.002
_cell_length_b 6.002
_cell_length_c 5.844
_cell_angle_alpha 90.00
_cell_angle_beta 90.00
_cell_angle_gamma 90.00
loop_
_space_group_symop_operation_xyz
'x,y,z'
loop_
_atom_site_label
_atom_site_type_symbol
_atom_site_fract_x
_atom_site_fract_y
_atom_site_fract_z
Tl1 Tl 0.000 0.000 0.000
Cu1 Cu 0.500 0.500 0.500
Pb1 Pb 0.000 0.000 0.500
I1 I 0.000 0.500 0.000
I2 I 0.500 0.000 0.000
```

Space-group type: P4/mmm, No. 123
Energy relative to the elements, uncorrected, meV/atom: 775
Volume, Å³/f.u.: 210
DFT total energy, eV per cell: -10.6

---

(15)
A relaxed LiTa2P crystal, computed with GGA-PBEsol.

```
data_LiTa2P
_chemical_formula_sum 'Li1 Ta2 P1'
_space_group_name_H-M_alt 'P 1'
_space_group_IT_number 1
_cell_length_a 2.915
_cell_length_b 2.915
_cell_length_c 7.957
_cell_angle_alpha 90.00
_cell_angle_beta 90.00
_cell_angle_gamma 104.88
loop_
_space_group_symop_operation_xyz
'x,y,z'
loop_
_atom_site_label
_atom_site_type_symbol
_atom_site_fract_x
_atom_site_fract_y
_atom_site_fract_z
Li1 Li 0.000 0.000 0.000
Ta1 Ta 0.500 0.500 0.291
Ta2 Ta 0.500 0.500 0.709
P1 P 0.000 0.000 0.500
```

Space-group type: Cmmm, No. 65
Calculated formation energy, eV per formula unit: 0.14
Volume, Å³/f.u.: 65
DFT total energy, eV per cell: -32.7

---

(16)
A relaxed Li3TaBr crystal, computed with GGA-PBEsol.

```
data_Li3TaBr
_chemical_formula_sum 'Li3 Ta1 Br1'
_space_group_name_H-M_alt 'P 1'
_space_group_IT_number 1
_cell_length_a 4.787
_cell_length_b 4.787
_cell_length_c 4.787
_cell_angle_alpha 90.00
_cell_angle_beta 90.00
_cell_angle_gamma 90.00
loop_
_space_group_symop_operation_xyz
'x,y,z'
loop_
_atom_site_label
_atom_site_type_symbol
_atom_site_fract_x
_atom_site_fract_y
_atom_site_fract_z
Li1 Li 0.000 0.000 0.500
Li2 Li 0.000 0.500 0.000
Li3 Li 0.500 0.000 0.000
Ta1 Ta 0.500 0.500 0.500
Br1 Br 0.000 0.000 0.000
```

Space-group type: Pm-3m, No. 221
Energy relative to the elements, uncorrected, meV/atom: 611
Volume, Å³/f.u.: 110
DFT total energy, eV per cell: -17.3

---

(17)
A relaxed LiY2Sb crystal, computed with GGA-PBEsol.

```
data_LiY2Sb
_chemical_formula_sum 'Li1 Y2 Sb1'
_space_group_name_H-M_alt 'P 1'
_space_group_IT_number 1
_cell_length_a 4.291
_cell_length_b 6.023
_cell_length_c 6.023
_cell_angle_alpha 40.37
_cell_angle_beta 90.00
_cell_angle_gamma 90.00
loop_
_space_group_symop_operation_xyz
'x,y,z'
loop_
_atom_site_label
_atom_site_type_symbol
_atom_site_fract_x
_atom_site_fract_y
_atom_site_fract_z
Li1 Li 0.000 0.000 0.000
Y1 Y 0.000 0.280 0.280
Y2 Y 0.500 0.578 0.578
Sb1 Sb 0.500 0.859 0.859
```

Space-group type: Amm2, No. 38
Energy relative to the elements, uncorrected, meV/atom: -612
Volume, Å³/f.u.: 101
DFT total energy, eV per cell: -22.6

---

(18)
A relaxed ZrTePt2 crystal, computed with GGA-PBEsol.

```
data_ZrTePt2
_chemical_formula_sum 'Zr1 Te1 Pt2'
_space_group_name_H-M_alt 'P 1'
_space_group_IT_number 1
_cell_length_a 3.501
_cell_length_b 3.501
_cell_length_c 6.121
_cell_angle_alpha 90.00
_cell_angle_beta 90.00
_cell_angle_gamma 90.00
loop_
_space_group_symop_operation_xyz
'x,y,z'
loop_
_atom_site_label
_atom_site_type_symbol
_atom_site_fract_x
_atom_site_fract_y
_atom_site_fract_z
Zr1 Zr 0.000 0.000 0.000
Te1 Te 0.500 0.500 0.679
Pt1 Pt 0.000 0.000 0.445
Pt2 Pt 0.500 0.500 0.211
```

Space-group type: P4mm, No. 99
Energy relative to the elements, uncorrected, meV/atom: -496
Volume, Å³/f.u.: 75
DFT total energy, eV per cell: -28.5

---

(19)
A relaxed ZnH2Pt2 crystal, computed with GGA-PBEsol.

```
data_ZnH2Pt2
_chemical_formula_sum 'Zn2 H4 Pt4'
_space_group_name_H-M_alt 'P 1'
_space_group_IT_number 1
_cell_length_a 6.440
_cell_length_b 6.440
_cell_length_c 2.807
_cell_angle_alpha 90.00
_cell_angle_beta 90.00
_cell_angle_gamma 90.00
loop_
_space_group_symop_operation_xyz
'x,y,z'
loop_
_atom_site_label
_atom_site_type_symbol
_atom_site_fract_x
_atom_site_fract_y
_atom_site_fract_z
Zn1 Zn 0.000 0.000 0.000
Zn2 Zn 0.500 0.500 0.000
H1 H 0.245 0.255 0.500
H2 H 0.255 0.755 0.500
H3 H 0.745 0.245 0.500
H4 H 0.755 0.745 0.500
Pt1 Pt 0.146 0.646 0.000
Pt2 Pt 0.354 0.146 0.000
Pt3 Pt 0.646 0.854 0.000
Pt4 Pt 0.854 0.354 0.000
```

Space-group type: P4/mbm, No. 127
Volume, Å³/f.u.: 58
DFT total energy, eV per cell: -43.4

---

(20)
A relaxed ZnFe2 crystal, computed with GGA-PBEsol.

```
data_ZnFe2
_chemical_formula_sum 'Zn1 Fe2'
_space_group_name_H-M_alt 'P 1'
_space_group_IT_number 1
_cell_length_a 4.366
_cell_length_b 4.366
_cell_length_c 4.366
_cell_angle_alpha 147.42
_cell_angle_beta 128.95
_cell_angle_gamma 61.88
loop_
_space_group_symop_operation_xyz
'x,y,z'
loop_
_atom_site_label
_atom_site_type_symbol
_atom_site_fract_x
_atom_site_fract_y
_atom_site_fract_z
Zn1 Zn 0.000 0.000 0.000
Fe1 Fe 0.334 0.334 0.000
Fe2 Fe 0.666 0.666 0.000
```

Space-group type: Immm, No. 71
Calculated formation energy, eV per formula unit: 0.17
Volume, Å³/f.u.: 35
DFT total energy, eV per cell: -19.3